# 1
VASP calculation (PBE) on a relaxed structure of CsZrCuSe3.

The space group is P2_1/m (No. 11) and the conventional cell measures 9.452, 3.968 and 10.147 Å, with angles of 90.00, 115.58 and 90.00 degrees. Symmetry generates all atoms from Cs at (0.231, 0.250, 0.258), Zr at (0.312, 0.750, 0.835), Cu at (0.086, 0.250, 0.603), Se at (0.126, 0.250, 0.858), Se at (0.210, 0.750, 0.549) and Se at (0.476, 0.750, 0.142).

The mass density comes out at 5.1 g/cm³. As for the uncorrected formation energy: -1.132 eV per atom. The value obtained for the total magnetic moment is 0.0 Bohr magnetons per cell.

***

# 2
VASP calculation (PBE) on a relaxed structure of Li2PmTm.

The space group is Fm-3m (No. 225) and the conventional cell measures 7.464, 7.464 and 7.464 Å, with angles of 90.00, 90.00 and 90.00 degrees. Symmetry generates all atoms from Li at (0.250, 0.250, 0.250), Pm at (0.000, 0.000, 0.000) and Tm at (0.000, 0.000, 0.500).

The mass density comes out at 5.2 g/cm³. For the total energy, the calculation gives -3.11 eV per atom. The value obtained for the total magnetic moment is 0.0 Bohr magnetons per cell.

***

# 3
VASP calculation (PBE) on a relaxed structure of TbErTlHg.

The space group is P4mm (No. 99) and the conventional cell measures 3.755, 3.755 and 7.503 Å, with angles of 90.00, 90.00 and 90.00 degrees. Symmetry generates all atoms from Tb at (0.000, 0.000, 0.000), Er at (0.000, 0.000, 0.482), Tl at (0.500, 0.500, 0.738) and Hg at (0.500, 0.500, 0.248).

The mass density comes out at 11.5 g/cm³. For the total energy, the calculation gives -3.37 eV per atom. The value obtained for the total magnetic moment is 0.2 Bohr magnetons per cell.

***

# 4
VASP calculation (PBE) on a relaxed structure of AcCe2Pm3S6.

The space group is C2/m (No. 12) and the conventional cell measures 7.056, 12.231 and 7.089 Å, with angles of 90.00, 109.49 and 90.00 degrees. Symmetry generates all atoms from Ac at (0.000, 0.000, 0.000), Ce at (0.000, 0.333, 0.000), Pm at (0.000, 0.163, 0.500), Pm at (0.000, 0.500, 0.500), S at (0.241, 0.500, 0.253) and S at (0.243, 0.329, 0.742).

The mass density comes out at 6.5 g/cm³. As for the uncorrected formation energy: -2.023 eV per atom. The value obtained for the total magnetic moment is 3.4 Bohr magnetons per cell.

***

# 5
VASP calculation (PBE) on a relaxed structure of BiIrS2.

The space group is C2/m (No. 12) and the conventional cell measures 6.258, 3.482 and 8.271 Å, with angles of 90.00, 109.06 and 90.00 degrees. Symmetry generates all atoms from Bi at (0.000, 0.000, 0.000), Ir at (0.000, 0.000, 0.500) and S at (0.106, 0.500, 0.343).

The mass density comes out at 9.1 g/cm³. As for the uncorrected formation energy: -0.173 eV per atom. The value obtained for the total magnetic moment is 0.0 Bohr magnetons per cell.

***

# 6
VASP calculation (PBE) on a relaxed structure of ReGeP2O.

The space group is P4/mmm (No. 123) and the conventional cell measures 4.766, 4.766 and 3.467 Å, with angles of 90.00, 90.00 and 90.00 degrees. Symmetry generates all atoms from Re at (0.000, 0.000, 0.000), Ge at (0.500, 0.500, 0.500), P at (0.000, 0.500, 0.500) and O at (0.500, 0.500, 0.000).

The mass density comes out at 7.1 g/cm³. As for the uncorrected formation energy: 0.821 eV per atom. The value obtained for the total magnetic moment is 2.2 Bohr magnetons per cell.